(1)
P2RuBr after structural relaxation, computed with PBEsol.

Calculated values
**Energy relative to the elements, uncorrected**: 2.9 eV/f.u.
**DOS(E_F)**: 10.45 states/eV/cell
**M_tot**: 0.00 μB per formula unit
**ΔE to the lowest computed polymorph**: 271 kJ/mol of formula units
**Uncorrected energy**: -83.0 eV/cell

CIF file:
```
data_P2RuBr
_cell_length_a 6.205
_cell_length_b 6.205
_cell_length_c 6.205
_cell_angle_alpha 90.00
_cell_angle_beta 90.00
_cell_angle_gamma 90.00
_space_group_name_H-M_alt 'F -4 3 m'
_space_group_IT_number 216
_space_group_name_Hall 'F -4 2 3'
loop_
_atom_site_label
_atom_site_type_symbol
_atom_site_fract_x
_atom_site_fract_y
_atom_site_fract_z
_atom_site_occupancy
P1 P 0.000 0.000 0.000 1
P2 P 0.250 0.250 0.250 1
Ru1 Ru 0.250 0.250 0.750 1
Br1 Br 0.000 0.000 0.500 1
```

(2)
PRuBr2 after structural relaxation, computed with PBEsol.

Calculated values
**Energy relative to the elements, uncorrected**: 3.6 eV/f.u.
**DOS(E_F)**: 3.99 states/eV/cell
**M_tot**: 0.00 μB per formula unit
**Uncorrected energy**: -16.1 eV/cell

CIF file:
```
data_PRuBr2
_cell_length_a 3.016
_cell_length_b 3.016
_cell_length_c 8.302
_cell_angle_alpha 90.00
_cell_angle_beta 90.00
_cell_angle_gamma 90.00
_space_group_name_H-M_alt 'P 4/m m m'
_space_group_IT_number 123
_space_group_name_Hall '-P 4 2'
loop_
_atom_site_label
_atom_site_type_symbol
_atom_site_fract_x
_atom_site_fract_y
_atom_site_fract_z
_atom_site_occupancy
P1 P 0.000 0.000 0.000 1
Ru1 Ru 0.000 0.000 0.500 1
Br1 Br 0.500 0.500 0.307 1
```

(3)
P4RuBr after structural relaxation, computed with PBEsol.

Calculated values
**Energy relative to the elements, uncorrected**: 5.4 eV/f.u.
**DOS(E_F)**: 16.66 states/eV/cell
**M_tot**: 3.01 μB per formula unit
**Uncorrected energy**: -119.3 eV/cell

CIF file:
```
data_P4RuBr
_cell_length_a 7.518
_cell_length_b 7.518
_cell_length_c 7.518
_cell_angle_alpha 90.00
_cell_angle_beta 90.00
_cell_angle_gamma 90.00
_space_group_name_H-M_alt 'F -4 3 m'
_space_group_IT_number 216
_space_group_name_Hall 'F -4 2 3'
loop_
_atom_site_label
_atom_site_type_symbol
_atom_site_fract_x
_atom_site_fract_y
_atom_site_fract_z
_atom_site_occupancy
P1 P 0.106 0.106 0.394 1
Ru1 Ru 0.000 0.000 0.000 1
Br1 Br 0.250 0.250 0.750 1
```

(4)
P2RuBr after structural relaxation, computed with PBEsol.

Calculated values
**Energy relative to the elements, uncorrected**: 0.2 eV/f.u.
**DOS(E_F)**: 9.01 states/eV/cell
**M_tot**: 0.00 μB per formula unit
**ΔE to the lowest computed polymorph**: 18 kJ/mol of formula units
**Uncorrected energy**: -70.1 eV/cell

CIF file:
```
data_P2RuBr
_cell_length_a 3.2676
_cell_length_b 3.2676
_cell_length_c 21.5998
_cell_angle_alpha 90.00
_cell_angle_beta 90.00
_cell_angle_gamma 120.00
_space_group_name_H-M_alt 'R -3 m'
_space_group_IT_number 166
_space_group_name_Hall '-R 3 2"'
loop_
_atom_site_label
_atom_site_type_symbol
_atom_site_fract_x
_atom_site_fract_y
_atom_site_fract_z
_atom_site_occupancy
P1 P 0.0000 0.0000 0.2344 1
Ru1 Ru 0.0000 0.0000 0.5000 1
Br1 Br 0.0000 0.0000 0.0000 1
```

(5)
PRuS2Br after structural relaxation, computed with PBEsol.

Calculated values
**Energy relative to the elements, uncorrected**: 2.2 eV/f.u.
**DOS(E_F)**: 4.94 states/eV/cell
**M_tot**: 0.00 μB per formula unit
**Uncorrected energy**: -24.4 eV/cell

CIF file:
```
data_PRuS2Br
_cell_length_a 4.437
_cell_length_b 4.437
_cell_length_c 4.882
_cell_angle_alpha 90.00
_cell_angle_beta 90.00
_cell_angle_gamma 90.00
_space_group_name_H-M_alt 'P 4/m m m'
_space_group_IT_number 123
_space_group_name_Hall '-P 4 2'
loop_
_atom_site_label
_atom_site_type_symbol
_atom_site_fract_x
_atom_site_fract_y
_atom_site_fract_z
_atom_site_occupancy
P1 P 0.000 0.000 0.000 1
Ru1 Ru 0.000 0.000 0.500 1
S1 S 0.000 0.500 0.500 1
Br1 Br 0.500 0.500 0.000 1
```

(6)
PRuSe2Br after structural relaxation, computed with PBEsol.

Calculated values
**Energy relative to the elements, uncorrected**: 5.4 eV/f.u.
**DOS(E_F)**: 6.45 states/eV/cell
**M_tot**: 3.51 μB per formula unit
**Uncorrected energy**: -20.1 eV/cell

CIF file:
```
data_PRuSe2Br
_cell_length_a 4.761
_cell_length_b 4.761
_cell_length_c 4.802
_cell_angle_alpha 90.00
_cell_angle_beta 90.00
_cell_angle_gamma 90.00
_space_group_name_H-M_alt 'P 4/m m m'
_space_group_IT_number 123
_space_group_name_Hall '-P 4 2'
loop_
_atom_site_label
_atom_site_type_symbol
_atom_site_fract_x
_atom_site_fract_y
_atom_site_fract_z
_atom_site_occupancy
P1 P 0.000 0.000 0.000 1
Ru1 Ru 0.500 0.500 0.500 1
Se1 Se 0.000 0.500 0.000 1
Br1 Br 0.000 0.000 0.500 1
```

(7)
TaPRu2Br after structural relaxation, computed with PBEsol.

Calculated values
**Energy relative to the elements, uncorrected**: 3.9 eV/f.u.
**DOS(E_F)**: 6.09 states/eV/cell
**M_tot**: 0.01 μB per formula unit
**Uncorrected energy**: -36.7 eV/cell

CIF file:
```
data_TaPRu2Br
_cell_length_a 4.342
_cell_length_b 4.342
_cell_length_c 4.659
_cell_angle_alpha 90.00
_cell_angle_beta 90.00
_cell_angle_gamma 90.00
_space_group_name_H-M_alt 'P 4/m m m'
_space_group_IT_number 123
_space_group_name_Hall '-P 4 2'
loop_
_atom_site_label
_atom_site_type_symbol
_atom_site_fract_x
_atom_site_fract_y
_atom_site_fract_z
_atom_site_occupancy
Ta1 Ta 0.000 0.000 0.000 1
P1 P 0.000 0.000 0.500 1
Ru1 Ru 0.000 0.500 0.500 1
Br1 Br 0.500 0.500 0.000 1
```

(8)
PSBr2 after structural relaxation, computed with PBEsol.

Calculated values
**Energy relative to the elements, uncorrected**: 2.6 eV/f.u.
**DOS(E_F)**: 7.60 states/eV/cell
**M_tot**: 0.00 μB per formula unit
**Uncorrected energy**: -33.9 eV/cell

CIF file:
```
data_PSBr2
_cell_length_a 3.4225
_cell_length_b 3.4225
_cell_length_c 26.2950
_cell_angle_alpha 90.00
_cell_angle_beta 90.00
_cell_angle_gamma 120.00
_space_group_name_H-M_alt 'R -3 m'
_space_group_IT_number 166
_space_group_name_Hall '-R 3 2"'
loop_
_atom_site_label
_atom_site_type_symbol
_atom_site_fract_x
_atom_site_fract_y
_atom_site_fract_z
_atom_site_occupancy
P1 P 0.0000 0.0000 0.0000 1
S1 S 0.0000 0.0000 0.5000 1
Br1 Br 0.0000 0.0000 0.4071 1
```

(9)
SbPS2Br after structural relaxation, computed with PBEsol.

Calculated values
**Energy relative to the elements, uncorrected**: 4.9 eV/f.u.
**DOS(E_F)**: 2.82 states/eV/cell
**M_tot**: 0.00 μB per formula unit
**Uncorrected energy**: -16.1 eV/cell

CIF file:
```
data_SbPS2Br
_cell_length_a 4.736
_cell_length_b 4.736
_cell_length_c 4.892
_cell_angle_alpha 90.00
_cell_angle_beta 90.00
_cell_angle_gamma 90.00
_space_group_name_H-M_alt 'P 4/m m m'
_space_group_IT_number 123
_space_group_name_Hall '-P 4 2'
loop_
_atom_site_label
_atom_site_type_symbol
_atom_site_fract_x
_atom_site_fract_y
_atom_site_fract_z
_atom_site_occupancy
Sb1 Sb 0.000 0.000 0.000 1
P1 P 0.500 0.500 0.000 1
S1 S 0.000 0.500 0.500 1
Br1 Br 0.500 0.500 0.500 1
```

(10)
P2WSBr after structural relaxation, computed with PBEsol.

Calculated values
**Energy relative to the elements, uncorrected**: 9.9 eV/f.u.
**DOS(E_F)**: 2.82 states/eV/cell
**M_tot**: 2.00 μB per formula unit
**Uncorrected energy**: -21.8 eV/cell

CIF file:
```
data_P2WSBr
_cell_length_a 4.629
_cell_length_b 4.629
_cell_length_c 4.531
_cell_angle_alpha 90.00
_cell_angle_beta 90.00
_cell_angle_gamma 90.00
_space_group_name_H-M_alt 'P 4/m m m'
_space_group_IT_number 123
_space_group_name_Hall '-P 4 2'
loop_
_atom_site_label
_atom_site_type_symbol
_atom_site_fract_x
_atom_site_fract_y
_atom_site_fract_z
_atom_site_occupancy
P1 P 0.000 0.500 0.000 1
W1 W 0.000 0.000 0.500 1
S1 S 0.500 0.500 0.500 1
Br1 Br 0.500 0.500 0.000 1
```

(11)
YPS2Br after structural relaxation, computed with PBEsol.

Calculated values
**Energy relative to the elements, uncorrected**: 0.8 eV/f.u.
**DOS(E_F)**: 5.19 states/eV/cell
**M_tot**: 0.68 μB per formula unit
**Uncorrected energy**: -22.4 eV/cell

CIF file:
```
data_YPS2Br
_cell_length_a 5.053
_cell_length_b 5.053
_cell_length_c 5.577
_cell_angle_alpha 90.00
_cell_angle_beta 90.00
_cell_angle_gamma 90.00
_space_group_name_H-M_alt 'P 4/m m m'
_space_group_IT_number 123
_space_group_name_Hall '-P 4 2'
loop_
_atom_site_label
_atom_site_type_symbol
_atom_site_fract_x
_atom_site_fract_y
_atom_site_fract_z
_atom_site_occupancy
Y1 Y 0.000 0.000 0.000 1
P1 P 0.000 0.000 0.500 1
S1 S 0.000 0.500 0.000 1
Br1 Br 0.500 0.500 0.500 1
```

(12)
ZnPS2Br after structural relaxation, computed with PBEsol.

Calculated values
**Energy relative to the elements, uncorrected**: 6.1 eV/f.u.
**DOS(E_F)**: 4.68 states/eV/cell
**M_tot**: 0.00 μB per formula unit
**Uncorrected energy**: -11.9 eV/cell

CIF file:
```
data_ZnPS2Br
_cell_length_a 4.797
_cell_length_b 4.797
_cell_length_c 4.743
_cell_angle_alpha 90.00
_cell_angle_beta 90.00
_cell_angle_gamma 90.00
_space_group_name_H-M_alt 'P 4/m m m'
_space_group_IT_number 123
_space_group_name_Hall '-P 4 2'
loop_
_atom_site_label
_atom_site_type_symbol
_atom_site_fract_x
_atom_site_fract_y
_atom_site_fract_z
_atom_site_occupancy
Zn1 Zn 0.000 0.000 0.000 1
P1 P 0.500 0.500 0.000 1
S1 S 0.000 0.500 0.500 1
Br1 Br 0.500 0.500 0.500 1
```